{
  "formula": "FeB2CSe",
  "functional": "GGA-PBE",
  "state": "relaxed",
  "final_energy_ev_per_atom": -5.4405,
  "e_form_raw_ev_per_atom": 1.465,
  "volume_a3_per_fu": 59,
  "rho_g_cm3": 4.8,
  "magmom_total_mub_per_fu": 0.29,
  "dos_at_fermi_per_ev_atom": 0.917,
  "cell": [[-1.429, -2.915, 2.423], [3.045, -1.812, -0.384], [1.546, 1.916, 3.218]],
  "species": ["Se", "B", "B", "C", "Fe"],
  "fractional_positions": [[0.500, 0.500, 0.500], [0.500, 0.000, 0.000], [0.000, 0.000, 0.500], [0.000, 0.500, 0.000], [0.000, 0.000, 0.000]]
}